# FeTcNi2 (PBE, optimized geometry)
data_FeTcNi2
_symmetry_space_group_name_H-M 'C 1 2/m 1'
_symmetry_Int_Tables_number 12
_symmetry_space_group_name_Hall '-C 2y'
_cell_length_a 8.547
_cell_length_b 2.564
_cell_length_c 4.435
_cell_angle_alpha 90.00
_cell_angle_beta 99.74
_cell_angle_gamma 90.00
loop_
_atom_site_label
_atom_site_type_symbol
_atom_site_fract_x
_atom_site_fract_y
_atom_site_fract_z
Fe1 Fe 0.000 0.000 0.000
Tc1 Tc 0.000 0.500 0.500
Ni1 Ni 0.248 0.500 0.247
# - total DFT energy (no corrections) (eV/atom) = -7.52
# - energy of formation (meV per atom) = 74

---

# Th2TiGe4Ir3 (PBE, optimized geometry)
data_Th2TiGe4Ir3
_symmetry_space_group_name_H-M 'P -4 m 2'
_symmetry_Int_Tables_number 115
_symmetry_space_group_name_Hall 'P -4 -2'
_cell_length_a 4.223
_cell_length_b 4.223
_cell_length_c 10.693
_cell_angle_alpha 90.00
_cell_angle_beta 90.00
_cell_angle_gamma 90.00
loop_
_atom_site_label
_atom_site_type_symbol
_atom_site_fract_x
_atom_site_fract_y
_atom_site_fract_z
Th1 Th 0.000 0.500 0.241
Ti1 Ti 0.000 0.000 0.500
Ge1 Ge 0.000 0.000 0.000
Ge2 Ge 0.000 0.500 0.641
Ge3 Ge 0.500 0.500 0.000
Ir1 Ir 0.000 0.500 0.873
Ir2 Ir 0.500 0.500 0.500
# - total DFT energy (no corrections) (eV/atom) = -7.57
# - energy of formation (meV per atom) = -790

---

# PrY6Sc2 (PBE, optimized geometry)
data_PrY6Sc2
_symmetry_space_group_name_H-M 'C 1 2/m 1'
_symmetry_Int_Tables_number 12
_symmetry_space_group_name_Hall '-C 2y'
_cell_length_a 5.586
_cell_length_b 9.660
_cell_length_c 10.295
_cell_angle_alpha 90.00
_cell_angle_beta 90.11
_cell_angle_gamma 90.00
loop_
_atom_site_label
_atom_site_type_symbol
_atom_site_fract_x
_atom_site_fract_y
_atom_site_fract_z
Pr1 Pr 0.000 0.000 0.000
Y1 Y 0.000 0.000 0.339
Y2 Y 0.000 0.333 0.176
Sc1 Sc 0.000 0.333 0.500
# - total DFT energy (no corrections) (eV/atom) = -6.16
# - energy of formation (meV per atom) = 85

---

# LiMg14Ti (PBE, optimized geometry)
data_LiMg14Ti
_symmetry_space_group_name_H-M 'A m m 2'
_symmetry_Int_Tables_number 38
_symmetry_space_group_name_Hall 'A 2 -2'
_cell_length_a 10.189
_cell_length_b 6.363
_cell_length_c 10.945
_cell_angle_alpha 90.00
_cell_angle_beta 90.00
_cell_angle_gamma 90.00
loop_
_atom_site_label
_atom_site_type_symbol
_atom_site_fract_x
_atom_site_fract_y
_atom_site_fract_z
Li1 Li 0.000 0.000 0.000
Mg1 Mg 0.000 0.247 0.248
Mg2 Mg 0.242 0.247 0.579
Mg3 Mg 0.243 0.000 0.833
Mg4 Mg 0.245 0.000 0.335
Mg5 Mg 0.500 0.000 0.499
Mg6 Mg 0.500 0.000 0.999
Mg7 Mg 0.500 0.250 0.249
Ti1 Ti 0.000 0.000 0.498
# - total DFT energy (no corrections) (eV/atom) = -1.96
# - energy of formation (meV per atom) = 44

---

# LaTcN2 (PBE, optimized geometry)
data_LaTcN2
_symmetry_space_group_name_H-M 'F m -3 m'
_symmetry_Int_Tables_number 225
_symmetry_space_group_name_Hall '-F 4 2 3'
_cell_length_a 5.867
_cell_length_b 5.867
_cell_length_c 5.867
_cell_angle_alpha 90.00
_cell_angle_beta 90.00
_cell_angle_gamma 90.00
loop_
_atom_site_label
_atom_site_type_symbol
_atom_site_fract_x
_atom_site_fract_y
_atom_site_fract_z
La1 La 0.000 0.000 0.000
Tc1 Tc 0.000 0.000 0.500
N1 N 0.250 0.250 0.250
# - total DFT energy (no corrections) (eV/atom) = -7.93
# - raw formation energy (eV/f.u.) = 0.2

---

# AcTbTeSe2 (PBE, optimized geometry)
data_AcTbTeSe2
_symmetry_space_group_name_H-M 'I 4 m m'
_symmetry_Int_Tables_number 107
_symmetry_space_group_name_Hall 'I 4 -2'
_cell_length_a 4.788
_cell_length_b 4.788
_cell_length_c 14.719
_cell_angle_alpha 90.00
_cell_angle_beta 90.00
_cell_angle_gamma 90.00
loop_
_atom_site_label
_atom_site_type_symbol
_atom_site_fract_x
_atom_site_fract_y
_atom_site_fract_z
Ac1 Ac 0.000 0.000 0.000
Tb1 Tb 0.000 0.000 0.721
Te1 Te 0.000 0.000 0.375
Se1 Se 0.000 0.500 0.126
# - total DFT energy (no corrections) (eV/atom) = -5.24
# - raw formation energy (eV/f.u.) = -7.3

---

# RbTeH (PBE, optimized geometry)
data_RbTeH
_symmetry_space_group_name_H-M 'P 1 m 1'
_symmetry_Int_Tables_number 6
_symmetry_space_group_name_Hall 'P -2y'
_cell_length_a 4.560
_cell_length_b 4.991
_cell_length_c 4.947
_cell_angle_alpha 90.00
_cell_angle_beta 111.15
_cell_angle_gamma 90.00
loop_
_atom_site_label
_atom_site_type_symbol
_atom_site_fract_x
_atom_site_fract_y
_atom_site_fract_z
Rb1 Rb 0.000 0.000 0.000
Te1 Te 0.651 0.500 0.394
H1 H 0.357 0.500 0.527
# - total DFT energy (no corrections) (eV/atom) = -2.99

---

# Rb2CdPtN (PBE, optimized geometry)
data_Rb2CdPtN
_symmetry_space_group_name_H-M 'P 4/m m m'
_symmetry_Int_Tables_number 123
_symmetry_space_group_name_Hall '-P 4 2'
_cell_length_a 6.830
_cell_length_b 6.830
_cell_length_c 3.726
_cell_angle_alpha 90.00
_cell_angle_beta 90.00
_cell_angle_gamma 90.00
loop_
_atom_site_label
_atom_site_type_symbol
_atom_site_fract_x
_atom_site_fract_y
_atom_site_fract_z
Rb1 Rb 0.000 0.500 0.000
Cd1 Cd 0.000 0.000 0.500
Pt1 Pt 0.500 0.500 0.000
N1 N 0.500 0.500 0.500
# - total DFT energy (no corrections) (eV/atom) = -3.41
# - raw formation energy (eV/f.u.) = 0.2

---

Question: Among the records above, which one has the highest total DFT energy (no corrections)?
Answer: LiMg14Ti

---

Question: What is the total DFT energy (no corrections) in the eighth record?
Answer: -3.41 eV/atom

---

Question: Which of these has the highest total DFT energy (no corrections)?
Answer: LiMg14Ti